Entry from Alexandria via LeMat-Bulk: TbCeV4 after structural relaxation (GGA-PBE).

```
TbCeV4
1.0
5.3401 0.0000 0.0000
2.6701 4.6247 0.0000
2.6701 1.5416 4.3602
Tb Ce V
1 1 4
direct
0.0000 0.0000 0.0000 Tb
0.2500 0.2500 0.2500 Ce
0.6234 0.6234 0.1298 V
0.6234 0.1298 0.6234 V
0.6234 0.6234 0.6234 V
0.1298 0.6234 0.6234 V
```

Calculated values
The value obtained for the formation energy is 6.7 kcal/mol of atoms. The density of states at the Fermi level comes out at 1.337 states/eV/atom.

Entry from Alexandria via LeMat-Bulk: Tl2IrSe after structural relaxation (GGA-PBE).

```
Tl2IrSe
1.0
-0.7421 4.8159 -2.0603
-1.4746 2.4243 -4.4651
-6.2604 1.8967 0.0206
Ir Se Tl
1 1 2
direct
0.5574 0.5574 0.5660 Ir
0.1607 0.1607 0.2889 Se
0.9729 0.9729 0.0002 Tl
0.8090 0.8090 0.6449 Tl
```

Calculated values
The formation energy without anion corrections is 0.109 eV per atom. The density of states at the Fermi level comes out at 0.581 states/eV/atom. Its energy above the most stable polymorph in this dataset is 48.4 meV/atom.

Entry from Alexandria via LeMat-Bulk: Cu4AgAu after structural relaxation (GGA-PBE).

```
Cu4AgAu
1.0
-1.9945 3.3787 2.9706
-4.8213 -0.1225 0.9786
-1.5688 -1.2846 4.4840
Ag Au Cu
1 1 4
direct
0.7500 0.7500 0.7500 Ag
0.0000 0.0000 0.0000 Au
0.3750 0.3750 0.3750 Cu
0.3750 0.8750 0.3750 Cu
0.3750 0.3750 0.8750 Cu
0.8750 0.3750 0.3750 Cu
```

Calculated values
The value obtained for the formation energy is 0.7 kcal/mol of atoms. The density of states at the Fermi level comes out at 0.267 states/eV/atom. Its energy above the most stable polymorph in this dataset is 0.0 meV/atom.

Entry from Alexandria via LeMat-Bulk: CsGaS2 after structural relaxation (GGA-PBE).

```
CsGaS2
1.0
7.3091 0.0000 0.0000
0.0000 7.3091 0.0000
3.6545 3.6545 4.4182
Cs S Ga
2 4 2
direct
0.0000 0.0000 0.0000 Cs
0.7500 0.2500 0.5000 Cs
0.5014 0.1250 0.2500 S
0.2486 0.6250 0.2500 S
0.3750 0.4986 0.7500 S
0.8750 0.7514 0.7500 S
0.5000 0.5000 0.0000 Ga
0.2500 0.7500 0.5000 Ga
```

Calculated values
The formation energy without anion corrections is -0.987 eV per atom. The density of states at the Fermi level comes out at 0.000 states/eV/atom.